Density functional theory data (PBE) for a relaxed structure of TlCu4TeS2.

Calculated values
Space group: No. 123
Formation energy from raw total energies in eV per atom: -0.20
E in eV per atom: -3.967
Total moment in μB per atom: 0.00

a b c (Å): 3.8768 3.8768 10.3573
angles (deg): 90.00 90.00 90.00
Fractional coordinates of all 8 atoms:
Tl 0.0000 0.0000 0.0000
Cu 0.0000 0.5000 0.3122
Cu 0.0000 0.5000 0.6878
Cu 0.5000 0.0000 0.3122
Cu 0.5000 0.0000 0.6878
Te 0.0000 0.0000 0.5000
S 0.5000 0.5000 0.1919
S 0.5000 0.5000 0.8081

---

Density functional theory data (PBE) for a relaxed structure of Be2CoRePt.

Calculated values
Space group: No. 123
Calculated formation energy in meV per atom: 656
E in eV per atom: -5.954
Total moment in μB per atom: 0.12

a b c (Å): 3.9574 3.9574 4.3440
angles (deg): 90.00 90.00 90.00
Fractional coordinates of all 5 atoms:
Be 0.0000 0.5000 0.0000
Be 0.5000 0.0000 0.0000
Co 0.0000 0.0000 0.0000
Re 0.0000 0.0000 0.5000
Pt 0.5000 0.5000 0.5000

---

Density functional theory data (PBE) for a relaxed structure of NaDyTm2Tl4.

Calculated values
Space group: No. 166
Calculated formation energy in meV per atom: -265
E in eV per atom: -3.306
Total moment in μB per atom: 0.00

a b c (Å): 9.2847 9.2847 9.2847
angles (deg): 33.16 33.16 33.16
Fractional coordinates of all 8 atoms:
Na 0.0000 0.0000 0.0000
Dy 0.5000 0.5000 0.5000
Tm 0.2529 0.2529 0.2529
Tm 0.7471 0.7471 0.7471
Tl 0.1241 0.1241 0.1241
Tl 0.3743 0.3743 0.3743
Tl 0.6257 0.6257 0.6257
Tl 0.8759 0.8759 0.8759

---

Across the entries above, DOS(E_F) takes the values 0.31; 0.58; 0.55 states/eV/atom, respectively.